Model A:
Compound: TbZnInTe3
Source: the Open Quantum Materials Database
Functional: GGA-PBE
Structure: relaxed

Summary:
The space group is No. 62.

abc: 12.535 4.503 13.083
angles: 90.00 90.00 90.00
Positions (direct):
Tb  0.025  0.250  0.183
Tb  0.475  0.750  0.683
Tb  0.525  0.250  0.317
Tb  0.975  0.750  0.817
Zn  0.243  0.750  0.301
Zn  0.257  0.250  0.801
Zn  0.743  0.750  0.199
Zn  0.757  0.250  0.699
In  0.181  0.250  0.494
In  0.319  0.750  0.994
In  0.681  0.250  0.006
In  0.819  0.750  0.506
Te  0.037  0.750  0.351
Te  0.098  0.250  0.937
Te  0.223  0.750  0.689
Te  0.277  0.250  0.189
Te  0.402  0.750  0.437
Te  0.463  0.250  0.851
Te  0.537  0.750  0.149
Te  0.598  0.250  0.563
Te  0.723  0.750  0.811
Te  0.777  0.250  0.311
Te  0.902  0.750  0.063
Te  0.963  0.250  0.649

=====

Model B:
Compound: TbZnInTe3
Source: the Open Quantum Materials Database
Functional: GGA-PBE
Structure: relaxed

Summary:
The space group is No. 63.

abc: 7.952 7.952 11.538
angles: 90.00 90.00 148.31
Positions (direct):
Tb  0.000  0.000  0.000
Tb  0.000  0.000  0.500
Zn  0.466  0.534  0.750
Zn  0.534  0.466  0.250
In  0.242  0.758  0.250
In  0.758  0.242  0.750
Te  0.076  0.924  0.750
Te  0.363  0.637  0.562
Te  0.363  0.637  0.938
Te  0.637  0.363  0.062
Te  0.637  0.363  0.438
Te  0.924  0.076  0.250

=====

The structure with the least stability is model A.

=====

Model A:
Compound: TmZnInTe3
Source: the Open Quantum Materials Database
Functional: GGA-PBE
Structure: relaxed

Summary:
The space group is No. 62.

abc: 15.504 4.326 11.613
angles: 90.00 90.00 90.00
Positions (direct):
Tm  0.024  0.250  0.158
Tm  0.476  0.750  0.658
Tm  0.524  0.250  0.342
Tm  0.976  0.750  0.842
Zn  0.017  0.750  0.399
Zn  0.483  0.250  0.899
Zn  0.517  0.750  0.101
Zn  0.983  0.250  0.601
In  0.239  0.250  0.460
In  0.261  0.750  0.960
In  0.739  0.250  0.040
In  0.761  0.750  0.540
Te  0.089  0.750  0.616
Te  0.103  0.250  0.921
Te  0.147  0.750  0.247
Te  0.353  0.250  0.747
Te  0.397  0.750  0.421
Te  0.411  0.250  0.116
Te  0.589  0.750  0.884
Te  0.603  0.250  0.579
Te  0.647  0.750  0.253
Te  0.853  0.250  0.753
Te  0.897  0.750  0.079
Te  0.911  0.250  0.384

=====

Model B:
Compound: TmZnInTe3
Source: the Open Quantum Materials Database
Functional: GGA-PBE
Structure: relaxed

Summary:
The space group is No. 12.

abc: 9.850 9.850 9.245
angles: 102.30 102.30 25.22
Positions (direct):
Tm  0.172  0.172  0.080
Tm  0.828  0.828  0.920
Zn  0.466  0.466  0.780
Zn  0.534  0.534  0.220
In  0.133  0.133  0.570
In  0.867  0.867  0.430
Te  0.000  0.000  0.000
Te  0.323  0.323  0.685
Te  0.332  0.332  0.149
Te  0.500  0.500  0.500
Te  0.668  0.668  0.851
Te  0.677  0.677  0.315

=====

Model C:
Compound: TmZnInTe3
Source: the Open Quantum Materials Database
Functional: GGA-PBE
Structure: relaxed

Summary:
The space group is No. 63.

abc: 8.001 8.001 11.424
angles: 90.00 90.00 148.82
Positions (direct):
Tm  0.000  0.000  0.000
Tm  0.000  0.000  0.500
Zn  0.465  0.535  0.750
Zn  0.535  0.465  0.250
In  0.243  0.757  0.250
In  0.757  0.243  0.750
Te  0.074  0.926  0.750
Te  0.365  0.635  0.559
Te  0.365  0.635  0.941
Te  0.635  0.365  0.059
Te  0.635  0.365  0.441
Te  0.926  0.074  0.250

=====

The structure with the least stability is model B.

=====

Model A:
Compound: TmZnInTe3
Source: the Open Quantum Materials Database
Functional: GGA-PBE
Structure: relaxed

Summary:
The space group is No. 11.

abc: 8.718 4.311 11.178
angles: 90.00 109.30 90.00
Positions (direct):
Tm  0.191  0.250  0.145
Tm  0.809  0.750  0.855
Zn  0.421  0.750  0.390
Zn  0.579  0.250  0.610
In  0.230  0.750  0.711
In  0.770  0.250  0.289
Te  0.061  0.250  0.859
Te  0.263  0.250  0.442
Te  0.443  0.750  0.158
Te  0.557  0.250  0.842
Te  0.737  0.750  0.558
Te  0.939  0.750  0.141

=====

Model B:
Compound: TmZnInTe3
Source: the Open Quantum Materials Database
Functional: GGA-PBE
Structure: relaxed

Summary:
The space group is No. 62.

abc: 11.446 4.314 15.298
angles: 90.00 90.00 90.00
Positions (direct):
Tm  0.013  0.250  0.247
Tm  0.487  0.750  0.747
Tm  0.513  0.250  0.253
Tm  0.987  0.750  0.753
Zn  0.241  0.250  0.715
Zn  0.259  0.750  0.215
Zn  0.741  0.250  0.785
Zn  0.759  0.750  0.285
In  0.230  0.750  0.507
In  0.270  0.250  0.007
In  0.730  0.750  0.993
In  0.770  0.250  0.493
Te  0.046  0.250  0.618
Te  0.073  0.750  0.112
Te  0.239  0.750  0.826
Te  0.261  0.250  0.326
Te  0.427  0.250  0.612
Te  0.454  0.750  0.118
Te  0.546  0.250  0.882
Te  0.573  0.750  0.388
Te  0.739  0.750  0.674
Te  0.761  0.250  0.174
Te  0.927  0.250  0.888
Te  0.954  0.750  0.382

=====

Model C:
Compound: TmZnInTe3
Source: the Open Quantum Materials Database
Functional: GGA-PBE
Structure: relaxed

Summary:
The space group is No. 62.

abc: 9.048 4.586 17.421
angles: 90.00 90.00 90.00
Positions (direct):
Tm  0.249  0.250  0.043
Tm  0.251  0.750  0.543
Tm  0.749  0.250  0.457
Tm  0.751  0.750  0.957
Zn  0.135  0.750  0.858
Zn  0.365  0.250  0.358
Zn  0.635  0.750  0.642
Zn  0.865  0.250  0.142
In  0.072  0.750  0.284
In  0.428  0.250  0.784
In  0.572  0.750  0.216
In  0.928  0.250  0.716
Te  0.002  0.750  0.089
Te  0.125  0.250  0.448
Te  0.195  0.750  0.710
Te  0.305  0.250  0.210
Te  0.375  0.750  0.948
Te  0.498  0.250  0.589
Te  0.502  0.750  0.411
Te  0.625  0.250  0.052
Te  0.695  0.750  0.790
Te  0.805  0.250  0.290
Te  0.875  0.750  0.552
Te  0.998  0.250  0.911

=====

Model D:
Compound: TmZnInTe3
Source: the Open Quantum Materials Database
Functional: GGA-PBE
Structure: relaxed

Summary:
The space group is No. 62.

abc: 12.416 4.455 13.182
angles: 90.00 90.00 90.00
Positions (direct):
Tm  0.023  0.250  0.187
Tm  0.477  0.750  0.687
Tm  0.523  0.250  0.313
Tm  0.977  0.750  0.813
Zn  0.243  0.750  0.300
Zn  0.257  0.250  0.800
Zn  0.743  0.750  0.200
Zn  0.757  0.250  0.700
In  0.184  0.250  0.492
In  0.316  0.750  0.992
In  0.684  0.250  0.008
In  0.816  0.750  0.508
Te  0.035  0.750  0.351
Te  0.095  0.250  0.933
Te  0.229  0.750  0.685
Te  0.271  0.250  0.185
Te  0.405  0.750  0.433
Te  0.465  0.250  0.851
Te  0.535  0.750  0.149
Te  0.595  0.250  0.567
Te  0.729  0.750  0.815
Te  0.771  0.250  0.315
Te  0.905  0.750  0.067
Te  0.965  0.250  0.649

=====

The structure with the least stability is model C.

=====

Model A:
Compound: UInTe
Source: the Open Quantum Materials Database
Functional: GGA-PBE
Structure: relaxed

Summary:
The space group is No. 216.

abc: 5.107 5.107 5.107
angles: 60.00 60.00 60.00
Positions (direct):
U  0.000  0.000  0.000
In  0.500  0.500  0.500
Te  0.750  0.750  0.750

=====

Model B:
Compound: UInTe
Source: the Open Quantum Materials Database
Functional: GGA-PBE
Structure: relaxed

Summary:
The space group is No. 216.

abc: 5.142 5.142 5.142
angles: 60.00 60.00 60.00
Positions (direct):
U  0.000  0.000  0.000
In  0.250  0.250  0.250
Te  0.750  0.750  0.750

=====

The structure with the least stability is model A.